Here is a geometry-optimized La8Sm4Er structure from Alexandria. Energies are from PBE-GGA.

Cell: 11.881 11.881 7.940 Å, 90.00 138.43 120.00°
Sites, in units of the cell vectors:
Sm1 0.000 0.500 0.000
Sm2 0.000 0.000 0.000
La1 0.655 0.827 0.983
La2 0.155 0.328 0.983
Sm3 0.500 0.500 0.000
La3 0.845 0.173 0.017
La4 0.526 0.763 0.289
Sm4 0.500 0.000 0.000
La5 0.845 0.672 0.017
La6 0.474 0.237 0.711
La7 0.155 0.827 0.983
Er1 0.000 0.500 0.500
La8 0.345 0.173 0.017

Output
Total DFT energy (no corrections) = -58.0 eV/cell
Magnetic moment = 0.01 μB per formula unit
E_form = 0.3708 eV per atom